TiBi2As2 | GGA-PBE | relaxed

Values from the calculation:
Space-group type ... No. 127
Formation enthalpy at 0 K ... -2 kJ/mol of atoms
DFT total energy ... -5.009 eV per atom
Crystal system ... tetragonal

Cell: 6.965 6.965 4.930 Å, 90.00 90.00 90.00°
Sites, in units of the cell vectors:
As: 0.342 0.842 0.000
As: 0.658 0.158 0.000
As: 0.158 0.342 0.000
As: 0.842 0.658 0.000
Bi: 0.170 0.670 0.500
Bi: 0.330 0.170 0.500
Bi: 0.670 0.830 0.500
Bi: 0.830 0.330 0.500
Ti: 0.000 0.000 0.000
Ti: 0.500 0.500 0.000



Pr2In6IrPd | GGA-PBE | relaxed

Values from the calculation:
Space-group type ... No. 225
Formation enthalpy at 0 K ... -19 kJ/mol of atoms
DFT total energy ... -4.204 eV per atom
Crystal system ... cubic

Cell: 7.263 7.263 7.263 Å, 60.00 60.00 90.00°
Sites, in units of the cell vectors:
Ir: 0.000 0.000 0.000
In: 0.251 0.251 0.000
In: 0.749 0.749 0.000
In: 0.749 0.251 0.000
In: 0.251 0.251 0.498
In: 0.251 0.749 0.000
In: 0.749 0.749 0.502
Pr: 0.250 0.750 0.500
Pr: 0.750 0.250 0.500
Pd: 0.500 0.500 0.000



In2SnSeS | GGA-PBE | relaxed

Values from the calculation:
Space-group type ... No. 123
DFT total energy ... -3.247 eV per atom
Crystal system ... tetragonal
Formation energy (no corrections) ... 3.95 kcal/mol of atoms

Cell: 5.358 5.447 5.358 Å, 90.00 90.00 90.00°
Sites, in units of the cell vectors:
In: 0.000 0.000 0.500
In: 0.500 0.000 0.000
S: 0.000 0.000 0.000
Sn: 0.000 0.500 0.000
Se: 0.500 0.500 0.500



SiHgPb4 | GGA-PBE | relaxed

Values from the calculation:
Space-group type ... No. 216
DFT total energy ... -2.930 eV per atom
Crystal system ... cubic
Formation energy (no corrections) ... 11.46 kcal/mol of atoms

Cell: 6.433 6.433 6.433 Å, 60.00 60.00 60.00°
Sites, in units of the cell vectors:
Pb: 0.375 0.874 0.375
Pb: 0.874 0.375 0.375
Pb: 0.375 0.375 0.375
Pb: 0.375 0.375 0.874
Si: 0.750 0.750 0.750
Hg: 0.000 0.000 0.000